# Ba2B10O17

Ba2B10O17 at its PBEsol-relaxed geometry (meta-GGA SCAN, the Alexandria database).

Cell lengths 6.7411, 9.9396, 10.1803 Å; angles 75.69, 82.59, 72.79 degrees
Closest atoms and distances in Å follow each position.
Space group P-1 (No. 2)
Unique sites:
Ba1 0.2283 0.4795 0.2138  8 O 2.68-2.99
Ba2 0.2457 0.0248 0.2790  8 O 2.70-2.94
B1 0.0123 0.7702 0.4738  4 O 1.46-1.50
B2 0.1311 0.2474 0.9787  4 O 1.45-1.48
B3 0.2236 0.7096 0.8844  3 O 1.36-1.39
B4 0.2351 0.5053 0.5312  3 O 1.36-1.38
B5 0.2491 0.1054 0.6981  3 O 1.36-1.39
B6 0.2709 0.7979 0.6301  3 O 1.36-1.40
B7 0.2819 0.9868 0.9533  3 O 1.37-1.38
B8 0.2976 0.3908 0.7838  3 O 1.36-1.39
B9 0.3594 0.2437 0.4771  4 O 1.46-1.48
B10 0.4837 0.2756 0.9923  4 O 1.46-1.51
O1 0.0524 0.1312 0.6603  2 B 1.36-1.50
O2 0.0832 0.6756 0.9861  2 B 1.36-1.47
O3 0.1207 0.6259 0.4476  2 B 1.37-1.48
O4 0.1473 0.0921 0.0110  2 B 1.37-1.47
O5 0.1560 0.7740 0.7547  2 B 1.39-1.40
O6 0.1605 0.3090 0.8316  2 B 1.37-1.48
O7 0.1642 0.8308 0.5157  2 B 1.37-1.48
O8 0.1688 0.2309 0.4303  2 B 1.46-1.48
O9 0.2467 0.4988 0.6674  2 B 1.38-1.39
O10 0.2785 0.2712 0.0566  2 B 1.45-1.46
O11 0.3255 0.0056 0.8149  2 B 1.38-1.39
O12 0.3454 0.3958 0.4702  2 B 1.36-1.47
O13 0.3819 0.8619 0.0382  2 B 1.37-1.48
O14 0.4003 0.1564 0.6145  2 B 1.37-1.46
O15 0.4271 0.6722 0.9129  2 B 1.36-1.46
O16 0.4605 0.3806 0.8558  2 B 1.36-1.51
O17 0.4731 0.8001 0.6253  2 B 1.36-1.48

Calculated values
M_tot: 0.00 Bohr magnetons per cell
E_form (uncorrected): -2.802 eV per atom